# HfZr2CoC PBE relaxed
# density of states at the Fermi level: 6.77 states/eV per cell
# SG: No. 123
# DFT formation energy: 0.61 eV/atom
# final energy: -8.065 eV per atom
data_HfZr2CoC
_symmetry_space_group_name_H-M 'P 1'
_symmetry_Int_Tables_number 1
_symmetry_space_group_name_Hall 'P 1'
_cell_length_a 5.0843
_cell_length_b 5.0843
_cell_length_c 3.5516
_cell_angle_alpha 90.00
_cell_angle_beta 90.00
_cell_angle_gamma 90.00
loop_
_atom_site_label
_atom_site_type_symbol
_atom_site_fract_x
_atom_site_fract_y
_atom_site_fract_z
Hf1 Hf 0.0000 0.0000 0.0000
Zr1 Zr 0.0000 0.5000 0.5000
Zr2 Zr 0.5000 0.0000 0.5000
Co1 Co 0.5000 0.5000 0.5000
C1 C 0.5000 0.5000 0.0000

***

# CoHgC3 PBE relaxed
# density of states at the Fermi level: 5.17 states/eV per cell
# SG: No. 221
# E above lowest polymorph: 1.620 eV per atom
# DFT formation energy: 3.86 eV/atom
# final energy: -3.160 eV per atom
data_CoHgC3
_symmetry_space_group_name_H-M 'P 1'
_symmetry_Int_Tables_number 1
_symmetry_space_group_name_Hall 'P 1'
_cell_length_a 4.2103
_cell_length_b 4.2103
_cell_length_c 4.2103
_cell_angle_alpha 90.00
_cell_angle_beta 90.00
_cell_angle_gamma 90.00
loop_
_atom_site_label
_atom_site_type_symbol
_atom_site_fract_x
_atom_site_fract_y
_atom_site_fract_z
Co1 Co 0.0000 0.0000 0.0000
Hg1 Hg 0.5000 0.5000 0.5000
C1 C 0.0000 0.5000 0.5000
C2 C 0.5000 0.0000 0.5000
C3 C 0.5000 0.5000 0.0000

***

# Co3HgC PBE relaxed
# density of states at the Fermi level: 24.80 states/eV per cell
# SG: No. 221
# E above lowest polymorph: 2.719 eV per atom
# DFT formation energy: 2.96 eV/atom
# final energy: -3.212 eV per atom
data_Co3HgC
_symmetry_space_group_name_H-M 'P 1'
_symmetry_Int_Tables_number 1
_symmetry_space_group_name_Hall 'P 1'
_cell_length_a 4.7608
_cell_length_b 4.7608
_cell_length_c 4.7608
_cell_angle_alpha 90.00
_cell_angle_beta 90.00
_cell_angle_gamma 90.00
loop_
_atom_site_label
_atom_site_type_symbol
_atom_site_fract_x
_atom_site_fract_y
_atom_site_fract_z
Co1 Co 0.0000 0.0000 0.5000
Co2 Co 0.0000 0.5000 0.0000
Co3 Co 0.5000 0.0000 0.0000
Hg1 Hg 0.0000 0.0000 0.0000
C1 C 0.5000 0.5000 0.5000

***

# CoHgC3 PBE relaxed
# density of states at the Fermi level: 3.25 states/eV per cell
# SG: No. 221
# E above lowest polymorph: 0.000 eV per atom
# DFT formation energy: 2.24 eV/atom
# final energy: -4.780 eV per atom
data_CoHgC3
_symmetry_space_group_name_H-M 'P 1'
_symmetry_Int_Tables_number 1
_symmetry_space_group_name_Hall 'P 1'
_cell_length_a 3.8647
_cell_length_b 3.8647
_cell_length_c 3.8647
_cell_angle_alpha 90.00
_cell_angle_beta 90.00
_cell_angle_gamma 90.00
loop_
_atom_site_label
_atom_site_type_symbol
_atom_site_fract_x
_atom_site_fract_y
_atom_site_fract_z
Co1 Co 0.0000 0.0000 0.0000
Hg1 Hg 0.5000 0.5000 0.5000
C1 C 0.0000 0.0000 0.5000
C2 C 0.0000 0.5000 0.0000
C3 C 0.5000 0.0000 0.0000

***

# Co3HgC PBE relaxed
# density of states at the Fermi level: 3.56 states/eV per cell
# SG: No. 221
# E above lowest polymorph: 0.000 eV per atom
# DFT formation energy: 0.24 eV/atom
# final energy: -5.931 eV per atom
data_Co3HgC
_symmetry_space_group_name_H-M 'P 1'
_symmetry_Int_Tables_number 1
_symmetry_space_group_name_Hall 'P 1'
_cell_length_a 3.8569
_cell_length_b 3.8569
_cell_length_c 3.8569
_cell_angle_alpha 90.00
_cell_angle_beta 90.00
_cell_angle_gamma 90.00
loop_
_atom_site_label
_atom_site_type_symbol
_atom_site_fract_x
_atom_site_fract_y
_atom_site_fract_z
Co1 Co 0.0000 0.0000 0.5000
Co2 Co 0.0000 0.5000 0.0000
Co3 Co 0.5000 0.0000 0.0000
Hg1 Hg 0.5000 0.5000 0.5000
C1 C 0.0000 0.0000 0.0000

***

# La6CoHg2C PBE relaxed
# density of states at the Fermi level: 8.97 states/eV per cell
# SG: No. 2
# DFT formation energy: -0.25 eV/atom
# final energy: -4.895 eV per atom
data_La6CoHg2C
_symmetry_space_group_name_H-M 'P 1'
_symmetry_Int_Tables_number 1
_symmetry_space_group_name_Hall 'P 1'
_cell_length_a 7.3691
_cell_length_b 7.3755
_cell_length_c 7.3786
_cell_angle_alpha 61.42
_cell_angle_beta 61.42
_cell_angle_gamma 61.30
loop_
_atom_site_label
_atom_site_type_symbol
_atom_site_fract_x
_atom_site_fract_y
_atom_site_fract_z
La1 La 0.1670 0.2567 0.3171
La2 La 0.2441 0.1845 0.8297
La3 La 0.3157 0.6678 0.7613
La4 La 0.6843 0.3322 0.2387
La5 La 0.7559 0.8155 0.1703
La6 La 0.8330 0.7433 0.6829
Co1 Co 0.5000 0.0000 0.5000
Hg1 Hg 0.2426 0.7439 0.2406
Hg2 Hg 0.7574 0.2561 0.7594
C1 C 0.0000 0.5000 0.0000

***

# La2CoHgC PBE relaxed
# density of states at the Fermi level: 3.53 states/eV per cell
# SG: No. 123
# DFT formation energy: -0.30 eV/atom
# final energy: -5.601 eV per atom
data_La2CoHgC
_symmetry_space_group_name_H-M 'P 1'
_symmetry_Int_Tables_number 1
_symmetry_space_group_name_Hall 'P 1'
_cell_length_a 5.4557
_cell_length_b 5.4557
_cell_length_c 3.6916
_cell_angle_alpha 90.00
_cell_angle_beta 90.00
_cell_angle_gamma 90.00
loop_
_atom_site_label
_atom_site_type_symbol
_atom_site_fract_x
_atom_site_fract_y
_atom_site_fract_z
La1 La 0.0000 0.5000 0.0000
La2 La 0.5000 0.0000 0.0000
Co1 Co 0.0000 0.0000 0.5000
Hg1 Hg 0.5000 0.5000 0.5000
C1 C 0.0000 0.0000 0.0000

***

# LiCoHgC2 PBE relaxed
# density of states at the Fermi level: 6.08 states/eV per cell
# SG: No. 123
# DFT formation energy: 2.62 eV/atom
# final energy: -2.937 eV per atom
data_LiCoHgC2
_symmetry_space_group_name_H-M 'P 1'
_symmetry_Int_Tables_number 1
_symmetry_space_group_name_Hall 'P 1'
_cell_length_a 4.2976
_cell_length_b 4.2976
_cell_length_c 4.9395
_cell_angle_alpha 90.00
_cell_angle_beta 90.00
_cell_angle_gamma 90.00
loop_
_atom_site_label
_atom_site_type_symbol
_atom_site_fract_x
_atom_site_fract_y
_atom_site_fract_z
Li1 Li 0.0000 0.0000 0.0000
Co1 Co 0.5000 0.5000 0.0000
Hg1 Hg 0.5000 0.5000 0.5000
C1 C 0.0000 0.5000 0.5000
C2 C 0.5000 0.0000 0.5000

***

| no. | calculated volume (Å³/cell) |
| --- | --- |
| 1 | 91.8 |
| 2 | 74.6 |
| 3 | 107.9 |
| 4 | 57.7 |
| 5 | 57.4 |
| 6 | 292.4 |
| 7 | 109.9 |
| 8 | 91.2 |